# PBE-GGA Ho3InBi, relaxed
data_Ho3InBi
_cell_length_a 16.104
_cell_length_b 6.435
_cell_length_c 11.161
_cell_angle_alpha 90.00
_cell_angle_beta 99.07
_cell_angle_gamma 90.00
_symmetry_space_group_name_H-M 'C 1 2/c 1'
_symmetry_Int_Tables_number 15
loop_
_symmetry_equiv_pos_as_xyz
'x,y,z'
'-x,-y,-z'
'-x,y,-z+1/2'
'x,-y,z+1/2'
'x+1/2,y+1/2,z'
'-x+1/2,-y+1/2,-z'
'-x+1/2,y+1/2,-z+1/2'
'x+1/2,-y+1/2,z+1/2'
loop_
_atom_site_label
_atom_site_fract_x
_atom_site_fract_y
_atom_site_fract_z
_atom_site_occupancy
Ho1 0.045 0.248 0.012 1
Ho2 0.104 0.006 0.782 1
Ho3 0.195 0.477 0.268 1
In1 0.158 0.232 0.534 1
Bi1 0.000 0.494 0.750 1
Bi2 0.250 0.250 0.000 1
# Volume (A^3/atom): 28.55
# ΔH_f (0 K) (eV per atom): -0.36